# 1
VASP calculation (PBE) on a relaxed NdHo12Sc5 crystal.

```
NdHo12Sc5
1.0
-0.7531 -4.9492 3.3555
2.1570 -5.2948 -1.9133
14.7644 4.7367 6.6969
Nd Ho Sc
1 12 5
Direct
0.0000 0.0000 0.0000
0.7804 0.0000 0.3394
0.2196 0.0000 0.6606
0.6079 0.0000 0.8321
0.3921 0.0000 0.1679
0.2794 0.6643 0.8322
0.0563 0.6643 0.1678
0.9437 0.3357 0.8322
0.7206 0.3357 0.1678
0.5533 0.3331 0.6605
0.8864 0.6669 0.6605
0.1136 0.3331 0.3395
0.4467 0.6669 0.3395
0.5000 0.0000 0.5000
0.1666 0.6669 0.5000
0.8334 0.3331 0.5000
0.6667 0.6667 0.0000
0.3333 0.3333 0.0000
```

Output
The value obtained for the formation energy is 0.04 eV/atom. The mass density is 7.39 g/cm³. The calculation puts the calculated volume at 527.8 Å³ per cell. For the density of states at the Fermi level, the calculation gives 24.8 states/eV/f.u.

# 2
VASP calculation (PBE) on a relaxed Al2NiOs crystal.

```
Al2NiOs
1.0
-1.2669 -2.3152 -0.4968
2.8838 -1.9513 1.7395
-2.4812 0.3828 4.5429
Ni Os Al
1 1 2
Direct
0.0000 0.0000 0.4686
0.5000 0.5000 0.7745
0.0000 0.0000 0.9756
0.5000 0.5000 0.2812
```

Output
The value obtained for the formation energy is -0.28 eV/atom. The mass density is 9.27 g/cm³. The calculation puts the calculated volume at 54.3 Å³ per cell. For the density of states at the Fermi level, the calculation gives 1.2 states/eV/f.u.

# 3
VASP calculation (PBE) on a relaxed K3Pa2O8 crystal.

```
K3Pa2O8
1.0
-0.0625 -5.8673 -0.7078
4.9386 -3.1323 0.8539
-0.3352 -3.9337 7.9620
K Pa O
3 2 8
Direct
0.0000 0.0000 0.0000
0.8080 0.8080 0.5761
0.1920 0.1920 0.4239
0.6062 0.6062 0.1813
0.3938 0.3938 0.8187
0.6882 0.6882 0.9355
0.3118 0.3118 0.0645
0.2369 0.7281 0.3070
0.7281 0.2369 0.3070
0.7281 0.7281 0.3070
0.2719 0.7631 0.6930
0.7631 0.2719 0.6930
0.2719 0.2719 0.6930
```

Output
The mass density is 4.73 g/cm³. The calculation puts the calculated volume at 248.2 Å³ per cell. Its final energy is -89.2 eV/cell. For the density of states at the Fermi level, the calculation gives 3.1 states/eV/f.u.

# 4
VASP calculation (PBE) on a relaxed SrSiAsSe2 crystal.

```
SrSiAsSe2
1.0
-3.8396 -3.3178 0.1801
0.2434 -0.5553 -5.0414
3.1057 -3.5647 0.5425
Sr As Si Se
1 1 1 2
Direct
0.5000 0.5000 0.5000
0.0000 0.0000 0.5000
0.0000 0.0000 0.0000
0.0000 0.5000 0.0000
0.5000 0.0000 0.0000
```

Output
The mass density is 4.72 g/cm³. The calculation puts the calculated volume at 122.7 Å³ per cell. Its final energy is -21.1 eV/cell. For the density of states at the Fermi level, the calculation gives 3.2 states/eV/f.u.

# 5
VASP calculation (PBE) on a relaxed SrSO4 crystal.

```
SrSO4
1.0
5.2563 0.0000 0.0000
0.0000 4.7217 0.0000
0.0000 0.0000 14.1195
Sr S O
4 4 16
Direct
0.2500 0.2841 0.5968
0.2500 0.2159 0.0968
0.7500 0.7159 0.4032
0.7500 0.7841 0.9032
0.2500 0.3449 0.8673
0.2500 0.1551 0.3673
0.7500 0.6551 0.1327
0.7500 0.8449 0.6327
0.7500 0.3398 0.1321
0.7500 0.1602 0.6321
0.2500 0.6602 0.8679
0.2500 0.8398 0.3679
0.7500 0.7296 0.7290
0.7500 0.7704 0.2290
0.2500 0.2704 0.2710
0.2500 0.2296 0.7710
0.0189 0.2483 0.9217
0.4811 0.2517 0.4217
0.5189 0.7517 0.0783
0.9811 0.7483 0.5783
0.9811 0.7517 0.0783
0.5189 0.7483 0.5783
0.4811 0.2483 0.9217
0.0189 0.2517 0.4217
```

Output
The mass density is 3.48 g/cm³. The calculation puts the calculated volume at 350.4 Å³ per cell. Its final energy is -155.3 eV/cell. For the density of states at the Fermi level, the calculation gives 0.0 states/eV/f.u.

# 6
VASP calculation (PBE) on a relaxed Re2Os3Ru crystal.

```
Re2Os3Ru
1.0
2.6481 -0.6639 -0.2265
-2.4931 7.6228 -1.7436
1.8264 -1.6515 9.5642
Re Os Ru
4 6 2
Direct
0.6252 0.3756 0.3755
0.3748 0.6244 0.6245
0.8743 0.1246 0.1253
0.1257 0.8754 0.8747
0.6233 0.7072 0.3756
0.1240 0.2079 0.8761
0.8754 0.4582 0.1249
0.3767 0.2928 0.6244
0.1246 0.5418 0.8751
0.8760 0.7921 0.1239
0.6255 0.0428 0.3755
0.3745 0.9572 0.6245
```

Output
The value obtained for the formation energy is 0.08 eV/atom. The mass density is 19.94 g/cm³. The calculation puts the calculated volume at 173.9 Å³ per cell. For the density of states at the Fermi level, the calculation gives 5.2 states/eV/f.u.

# 7
VASP calculation (PBE) on a relaxed La2YPb crystal.

```
La2YPb
1.0
9.2605 0.0000 0.0000
0.0000 9.2605 0.0000
4.6302 4.6302 3.2294
Pb Y La
2 2 4
Direct
0.0000 0.0000 0.0000
0.7500 0.2500 0.5000
0.5000 0.5000 0.0000
0.2500 0.7500 0.5000
0.6493 0.1250 0.2500
0.1007 0.6250 0.2500
0.3750 0.3507 0.7500
0.8750 0.8993 0.7500
```

Output
The value obtained for the formation energy is -0.05 eV/atom. The mass density is 6.88 g/cm³. The calculation puts the calculated volume at 276.9 Å³ per cell. For the density of states at the Fermi level, the calculation gives 5.6 states/eV/f.u.

# 8
VASP calculation (PBE) on a relaxed UAs2Pd7Pb2 crystal.

```
UAs2Pd7Pb2
1.0
-1.3732 -2.7551 2.7135
3.0890 0.9372 2.5336
-7.6262 9.5903 7.6733
U As Pd Pb
1 2 7 2
Direct
0.0000 0.0000 0.0000
0.5735 0.5735 0.7517
0.4265 0.4265 0.2483
0.5000 0.5000 0.0000
0.3878 0.3878 0.4209
0.6122 0.6122 0.5791
0.9558 0.4564 0.1452
0.4564 0.9558 0.1452
0.5436 0.0442 0.8548
0.0442 0.5436 0.8548
0.8859 0.8859 0.3928
0.1141 0.1141 0.6072
```

Output
The value obtained for the formation energy is -0.31 eV/atom. The mass density is 10.63 g/cm³. The calculation puts the calculated volume at 241.8 Å³ per cell. For the density of states at the Fermi level, the calculation gives 12.5 states/eV/f.u.